[1]
A plane-wave DFT calculation with PBE was carried out for a geometry-optimized ZrCdIn2 structure.

Lattice parameters (Å, degrees): 3.3925 4.4097 6.2080 90.00 90.00 90.00
Element x y z (fractional)
In: 0.0000 0.0000 0.9917
Zr: 0.0000 0.0000 0.4931
In: 0.5000 0.5000 0.2670
Cd: 0.5000 0.5000 0.7481

Properties
Fermi-level density of states	2.98	states/eV per cell
electronic total energy	-3.804	eV per atom
theoretical density	7747	kg/m³
energy relative to the elements	-69	meV per atom

---

[2]
A plane-wave DFT calculation with PBE was carried out for a geometry-optimized V2NiSe4 structure.

Lattice parameters (Å, degrees): 4.8517 4.8517 6.9854 69.68 69.68 90.00
Element x y z (fractional)
Se: 0.2006 0.2006 0.5987
Se: 0.0000 0.5000 0.0000
V: 0.6116 0.6116 0.7768
Ni: 0.0000 0.0000 0.0000
Se: 0.5000 0.0000 0.0000
V: 0.3884 0.3884 0.2232
Se: 0.7994 0.7994 0.4013

Properties
Fermi-level density of states	5.84	states/eV per cell
electronic total energy	-5.389	eV per atom
formation energy (no corrections)	33	meV per atom
theoretical density	5523	kg/m³

---

[3]
A plane-wave DFT calculation with PBE was carried out for a geometry-optimized Pm4Tm15Tl structure.

Lattice parameters (Å, degrees): 4.9347 4.9347 24.9577 90.00 90.00 90.00
Element x y z (fractional)
Tm: 0.5000 0.5000 0.3986
Tm: 0.5000 0.5000 0.1943
Pm: 0.0000 0.0000 0.1981
Tm: 0.5000 0.0000 0.0966
Tm: 0.0000 0.5000 0.0966
Tm: 0.5000 0.0000 0.7018
Tm: 0.5000 0.0000 0.2982
Tl: 0.0000 0.0000 0.0000
Tm: 0.0000 0.5000 0.9034
Pm: 0.0000 0.0000 0.3986
Tm: 0.5000 0.5000 0.8057
Tm: 0.5000 0.0000 0.9034
Tm: 0.0000 0.5000 0.7018
Pm: 0.0000 0.0000 0.6014
Tm: 0.0000 0.5000 0.5000
Tm: 0.5000 0.5000 0.6014
Tm: 0.5000 0.5000 0.0000
Tm: 0.5000 0.0000 0.5000
Pm: 0.0000 0.0000 0.8019
Tm: 0.0000 0.5000 0.2982

Properties
Fermi-level density of states	24.52	states/eV per cell
electronic total energy	-4.429	eV per atom
theoretical density	9067	kg/m³
energy relative to the elements	-7	meV per atom

---

[4]
A plane-wave DFT calculation with PBE was carried out for a geometry-optimized TbTm7In4 structure.

Lattice parameters (Å, degrees): 5.6020 9.1312 7.7131 74.99 68.71 72.14
Element x y z (fractional)
Tm: 0.7876 0.8765 0.5483
In: 0.3188 0.3352 0.0271
In: 0.6812 0.6648 0.9729
Tb: 0.0000 0.0000 0.0000
In: 0.5614 0.2427 0.6345
Tm: 0.2124 0.1235 0.4517
In: 0.4386 0.7573 0.3655
Tm: 0.0641 0.6015 0.2702
Tm: 0.7222 0.3359 0.2196
Tm: 0.5000 0.0000 0.0000
Tm: 0.2778 0.6641 0.7804
Tm: 0.9359 0.3985 0.7298

Properties
Fermi-level density of states	11.71	states/eV per cell
electronic total energy	-3.970	eV per atom
theoretical density	8667	kg/m³
energy relative to the elements	-63	meV per atom

---

[5]
A plane-wave DFT calculation with PBE was carried out for a geometry-optimized MgBrCl2 structure.

Lattice parameters (Å, degrees): 3.2406 3.5518 11.1478 79.91 90.00 90.00
Element x y z (fractional)
Br: 0.5000 0.7500 0.7500
Mg: 0.5000 0.2500 0.2500
Cl: 0.0000 0.4437 0.3846
Cl: 0.0000 0.0563 0.1154

Properties
Fermi-level density of states	1.84	states/eV per cell
electronic total energy	-2.781	eV per atom
formation energy (no corrections)	-1041	meV per atom
theoretical density	2302	kg/m³

---

[6]
A plane-wave DFT calculation with PBE was carried out for a geometry-optimized BaCoP2 structure.

Lattice parameters (Å, degrees): 4.6415 4.6415 4.1476 89.99 89.99 100.88
Element x y z (fractional)
Co: 0.0000 0.5000 0.5000
P: 0.0000 0.0000 0.0000
P: 0.5000 0.5000 0.0000
Ba: 0.5000 0.0000 0.5000

Properties
Fermi-level density of states	4.85	states/eV per cell
electronic total energy	-4.480	eV per atom
theoretical density	4886	kg/m³
energy relative to the elements	482	meV per atom

---

[7]
A plane-wave DFT calculation with PBE was carried out for a geometry-optimized Sr6Zn5Cu structure.

Lattice parameters (Å, degrees): 5.5233 7.6915 8.7519 90.00 108.42 90.00
Element x y z (fractional)
Zn: 0.0000 0.5000 0.0000
Zn: 0.3343 0.5000 0.6669
Zn: 0.6657 0.5000 0.3331
Sr: 0.8361 0.7516 0.6712
Zn: 0.3303 0.0000 0.6589
Sr: 0.5000 0.7542 0.0000
Sr: 0.1639 0.7516 0.3288
Cu: 0.0000 0.0000 0.0000
Sr: 0.1639 0.2484 0.3288
Sr: 0.5000 0.2458 0.0000
Sr: 0.8361 0.2484 0.6712
Zn: 0.6697 0.0000 0.3411

Properties
Fermi-level density of states	7.25	states/eV per cell
electronic total energy	-1.857	eV per atom
theoretical density	4313	kg/m³
energy relative to the elements	-144	meV per atom

---

[8]
A plane-wave DFT calculation with PBE was carried out for a geometry-optimized Be2InPb structure.

Lattice parameters (Å, degrees): 3.8720 3.3355 6.0992 87.30 90.00 90.00
Element x y z (fractional)
Be: 0.0000 0.7485 0.4254
In: 0.5000 0.2500 0.2500
Be: 0.0000 0.7515 0.0746
Pb: 0.5000 0.7500 0.7500

Properties
Fermi-level density of states	1.78	states/eV per cell
electronic total energy	-2.868	eV per atom
theoretical density	7176	kg/m³
energy relative to the elements	606	meV per atom

---

[9]
A plane-wave DFT calculation with PBE was carried out for a geometry-optimized DyHo3O6 structure.

Lattice parameters (Å, degrees): 6.7053 6.7053 6.7053 91.48 91.48 91.48
Element x y z (fractional)
O: 0.6027 0.8188 0.4709
O: 0.5291 0.3973 0.1812
Dy: 0.5000 0.5000 0.5000
O: 0.0718 0.3167 0.9039
Ho: 0.0635 0.2514 0.5556
O: 0.1812 0.5291 0.3973
Ho: 0.7486 0.4444 0.9365
Ho: 0.9365 0.7486 0.4444
O: 0.8188 0.4709 0.6027
Ho: 0.5556 0.0635 0.2514
O: 0.9282 0.6833 0.0961
Ho: 0.2514 0.5556 0.0635
Dy: 0.0000 0.0000 0.0000
O: 0.0961 0.9282 0.6833
O: 0.3167 0.9039 0.0718
Ho: 0.4444 0.9365 0.7486
O: 0.9039 0.0718 0.3167
O: 0.4709 0.6027 0.8188
O: 0.3973 0.1812 0.5291
O: 0.6833 0.0961 0.9282

Properties
Fermi-level density of states	0.00	states/eV per cell
electronic total energy	-8.387	eV per atom
formation energy (no corrections)	-3579	meV per atom
theoretical density	8307	kg/m³

---

[10]
A plane-wave DFT calculation with PBE was carried out for a geometry-optimized K2SrCeTe4 structure.

Lattice parameters (Å, degrees): 4.7089 8.1370 8.6150 108.14 90.00 90.00
Element x y z (fractional)
K: 0.5000 0.0000 0.5000
Te: 0.5000 0.2186 0.2095
K: 0.0000 0.5000 0.5000
Sr: 0.5000 0.5000 0.0000
Te: 0.5000 0.7814 0.7905
Te: 0.0000 0.7603 0.2157
Ce: 0.0000 0.0000 0.0000
Te: 0.0000 0.2397 0.7843

Properties
electronic total energy	-4.134	eV per atom
formation energy (no corrections)	-1337	meV per atom
theoretical density	4321	kg/m³

---

[11]
A plane-wave DFT calculation with PBE was carried out for a geometry-optimized PrErIrBr structure.

Lattice parameters (Å, degrees): 4.1021 4.1019 8.1254 89.99 104.62 120.00
Element x y z (fractional)
Er: 0.0957 0.9456 0.0570
Ir: 0.3108 0.5532 0.8795
Pr: 0.5087 0.1522 0.6763
Br: 0.9627 0.3797 0.3569

Properties
Fermi-level density of states	0.70	states/eV per cell
electronic total energy	-6.042	eV per atom
formation energy (no corrections)	-1073	meV per atom
theoretical density	8508	kg/m³

---

[12]
A plane-wave DFT calculation with PBE was carried out for a geometry-optimized LiReOs structure.

Lattice parameters (Å, degrees): 4.0988 4.0988 4.0988 60.00 60.00 60.00
Element x y z (fractional)
Li: 0.5000 0.5000 0.5000
Os: 0.7500 0.7500 0.7500
Re: 0.0000 0.0000 0.0000

Properties
Fermi-level density of states	1.21	states/eV per cell
electronic total energy	-7.980	eV per atom
theoretical density	13075	kg/m³
energy relative to the elements	550	meV per atom